Entry 1:
4
Lattice="-0.773 4.359 2.209 -4.317 2.342 -0.591 -3.174 0.329 3.781" Properties=species:S:1:pos:R:3 comment="PBE ErPaGaIr, relaxed" formation_enthalpy_0k_ev_per_atom=-0.479 vol_a3_per_atom=21.41 crystal_system=cubic dos_ef_per_ev_cell=3.77 sg=F-43m pbc="T T T"
Er -4.132 3.515 2.699
Pa 0.000 0.000 0.000
Ga -6.198 5.273 4.049
Ir -2.066 1.758 1.350

=====

Entry 2:
11
Lattice="5.206 -0.002 -0.780 0.003 5.932 0.002 -1.103 -0.002 5.148" Properties=species:S:1:pos:R:3 comment="PBE Ga2Tc7C2, relaxed" formation_enthalpy_0k_ev_per_atom=0.360 vol_a3_per_atom=13.99 crystal_system=orthorhombic dos_ef_per_ev_cell=12.39 sg=Cmmm pbc="T T T"
Ga 3.267 2.963 3.477
Ga 0.839 2.965 0.893
Tc -0.551 1.434 2.574
Tc 2.605 4.496 -0.388
Tc 4.657 4.494 1.795
Tc 1.501 1.432 4.758
Tc 0.000 0.000 0.000
Tc 2.054 4.804 2.186
Tc 2.052 1.124 2.184
C 3.585 5.930 0.748
C 0.520 -0.002 3.622

=====

Entry 3:
5
Lattice="4.072 0.000 0.000 0.000 4.072 0.000 0.000 0.000 5.244" Properties=species:S:1:pos:R:3 comment="PBE HgIO2F, relaxed" formation_energy_uncorrected_mev_per_atom=-204.8 vol_a3_per_atom=17.39 crystal_system=tetragonal dos_ef_per_ev_cell=3.11 sg=P4/mmm pbc="T T T"
I 0.000 0.000 0.000
Hg 2.036 2.036 2.622
O 0.000 2.036 0.000
O 2.036 0.000 0.000
F 0.000 0.000 2.622

=====

Entry 4:
3
Lattice="4.258 0.000 0.000 -2.129 3.687 0.000 0.000 0.000 2.846" Properties=species:S:1:pos:R:3 comment="PBE LiTaRu, relaxed" formation_enthalpy_0k_ev_per_atom=-0.001 vol_a3_per_atom=14.89 crystal_system=trigonal dos_ef_per_ev_cell=1.77 sg=P3m1 pbc="T T T"
Li 0.000 0.000 0.079
Ru 2.129 1.229 0.942
Ta 0.000 2.458 1.826

=====

Entry 5:
5
Lattice="6.669 0.000 0.000 0.000 6.669 0.000 0.000 0.000 7.407" Properties=species:S:1:pos:R:3 comment="PBE CsKBa2Ag, relaxed" formation_enthalpy_0k_ev_per_atom=0.027 vol_a3_per_atom=65.88 crystal_system=tetragonal dos_ef_per_ev_cell=4.21 sg=P4/mmm pbc="T T T"
Cs 0.000 0.000 3.704
K 3.334 3.334 3.704
Ba 0.000 3.334 0.000
Ba 3.334 0.000 0.000
Ag 0.000 0.000 0.000

=====

Entry 6:
10
Lattice="-4.635 0.012 -0.471 -2.486 -5.120 1.289 -2.832 1.540 4.865" Properties=species:S:1:pos:R:3 comment="PBE Na4ZnF5, relaxed" formation_energy_uncorrected_mev_per_atom=-2377.7 vol_a3_per_atom=13.34 crystal_system=tetragonal dos_ef_per_ev_cell=1.24 sg=I4 pbc="T T T"
Na -5.121 -0.839 4.236
Na -7.399 -3.180 3.545
Na -2.565 -0.388 2.137
Na -4.843 -2.729 1.446
Zn -0.005 0.000 -0.001
F -7.437 -0.860 3.981
F -5.078 -3.166 3.754
F -4.886 -0.402 1.928
F -2.527 -2.709 1.701
F -2.316 0.006 -0.235

=====

Entry 7:
4
Lattice="4.077 0.000 0.000 0.000 4.077 0.000 0.000 0.000 10.305" Properties=species:S:1:pos:R:3 comment="PBE Rb2BiI, relaxed" formation_energy_uncorrected_mev_per_atom=-729.0 vol_a3_per_atom=42.82 crystal_system=tetragonal dos_ef_per_ev_cell=1.79 sg=P4/mmm pbc="T T T"
I 2.038 2.038 0.000
Bi 2.038 2.038 5.153
Rb 0.000 0.000 7.979
Rb 0.000 0.000 2.327

=====

Entry 8:
4
Lattice="-1.293 -2.142 2.932 -0.694 -3.756 -0.516 5.893 -3.427 2.628" Properties=species:S:1:pos:R:3 comment="PBE HfPaAs2, relaxed" formation_enthalpy_0k_ev_per_atom=-0.903 vol_a3_per_atom=22.38 crystal_system=trigonal dos_ef_per_ev_cell=3.99 sg=R3m pbc="T T T"
Hf 2.032 -4.680 2.544
Pa 4.497 -7.343 4.218
As 4.134 -3.035 2.139
As 1.090 -2.356 1.292

=====

Entry 9:
10
Lattice="-3.513 1.368 2.219 -2.574 -2.406 -2.593 1.062 -8.781 7.094" Properties=species:S:1:pos:R:3 comment="PBE Ca2AlSn3Pt4, relaxed" formation_enthalpy_0k_ev_per_atom=-0.794 vol_a3_per_atom=21.70 crystal_system=tetragonal dos_ef_per_ev_cell=4.19 sg=P-4m2 pbc="T T T"
Ca -1.487 -1.550 2.914
Ca -0.496 -7.751 3.993
Al -2.513 -4.910 3.360
Sn 0.531 -4.391 3.547
Sn -0.841 -6.894 7.231
Sn -1.142 -2.406 -0.325
Pt -3.044 -0.519 -0.187
Pt 0.000 0.000 0.000
Pt -1.088 -4.850 5.580
Pt -0.895 -4.450 1.327

=====

Entry 10:
5
Lattice="-2.133 -2.844 5.548 -5.364 -1.819 -2.995 2.904 -5.642 -1.775" Properties=species:S:1:pos:R:3 comment="PBE SrCd2BiO, relaxed" formation_energy_uncorrected_mev_per_atom=1024.4 vol_a3_per_atom=55.63 crystal_system=tetragonal dos_ef_per_ev_cell=18.25 sg=P4/mmm pbc="T T T"
Sr 0.000 0.000 0.000
Bi -2.682 -0.910 -1.498
O -2.296 -5.152 0.389
Cd 1.452 -2.821 -0.887
Cd -1.067 -1.422 2.774

=====

Entry 11:
5
Lattice="5.188 0.000 0.000 0.000 4.738 0.000 0.000 0.000 5.188" Properties=species:S:1:pos:R:3 comment="PBE Ca2TaNbOs, relaxed" formation_enthalpy_0k_ev_per_atom=1.839 vol_a3_per_atom=25.50 crystal_system=tetragonal dos_ef_per_ev_cell=8.77 sg=P4/mmm pbc="T T T"
Nb 0.000 0.000 0.000
Os 0.000 2.369 0.000
Ca 0.000 0.000 2.594
Ca 2.594 0.000 0.000
Ta 2.594 2.369 2.594

=====

Entry 12:
5
Lattice="-3.197 -3.772 0.885 3.616 -2.494 2.437 -1.391 2.188 4.302" Properties=species:S:1:pos:R:3 comment="PBE Hf3HgIr, relaxed" formation_enthalpy_0k_ev_per_atom=0.188 vol_a3_per_atom=25.35 crystal_system=cubic dos_ef_per_ev_cell=7.86 sg=Pm-3m pbc="T T T"
Ir 0.000 0.000 0.000
Hf 1.808 -1.247 1.219
Hf -0.695 1.094 2.151
Hf -1.599 -1.886 0.442
Hg -0.486 -2.039 3.812

=====

Entry 13:
6
Lattice="3.559 0.000 0.000 0.000 3.559 0.000 0.000 0.000 10.547" Properties=species:S:1:pos:R:3 comment="PBE Pm3PdRh2, relaxed" formation_enthalpy_0k_ev_per_atom=-0.726 vol_a3_per_atom=22.27 crystal_system=tetragonal dos_ef_per_ev_cell=3.13 sg=P4/mmm pbc="T T T"
Pm 0.000 0.000 0.000
Pm 0.000 0.000 7.105
Pm 0.000 0.000 3.442
Pd 1.780 1.780 5.273
Rh 1.780 1.780 8.788
Rh 1.780 1.780 1.759

=====

Entry 14:
5
Lattice="-3.696 -1.245 0.521 0.856 -0.987 3.712 -1.234 4.255 1.416" Properties=species:S:1:pos:R:3 comment="PBE AsOsNF2, relaxed" formation_energy_uncorrected_mev_per_atom=848.6 vol_a3_per_atom=14.40 crystal_system=tetragonal dos_ef_per_ev_cell=5.29 sg=P4/mmm pbc="T T T"
As 0.000 0.000 0.000
N -0.617 2.128 0.708
Os -2.037 1.012 2.825
F 0.428 -0.494 1.856
F -1.848 -0.622 0.261

=====

Entry 15:
15
Lattice="9.276 0.000 0.000 4.638 8.033 0.000 4.638 2.678 7.025" Properties=species:S:1:pos:R:3 comment="PBE Pm8Nd6Tm, relaxed" formation_enthalpy_0k_ev_per_atom=0.109 vol_a3_per_atom=34.90 crystal_system=trigonal dos_ef_per_ev_cell=21.74 sg=R-3 pbc="T T T"
Pm 6.317 3.826 4.084
Pm 9.121 2.028 2.941
Pm 6.471 7.153 2.941
Pm 9.276 5.355 1.877
Pm 9.276 5.355 5.148
Pm 12.080 3.558 4.084
Pm 9.430 8.683 4.084
Pm 12.235 6.885 2.941
Nd 12.513 9.586 6.148
Nd 2.593 2.241 0.877
Nd 5.282 4.667 0.877
Nd 13.269 6.044 6.148
Nd 15.959 8.470 6.148
Nd 6.039 1.125 0.877
Tm 0.000 0.000 0.000

=====

Entry 16:
28
Lattice="8.863 0.000 5.117 2.954 8.357 5.117 0.000 0.000 10.235" Properties=species:S:1:pos:R:3 comment="PBE Th3Cd3Ru, relaxed" formation_enthalpy_0k_ev_per_atom=-0.276 vol_a3_per_atom=27.07 crystal_system=cubic dos_ef_per_ev_cell=21.71 sg=Fd-3m pbc="T T T"
Th 1.757 3.783 3.043
Th 2.396 1.694 10.235
Th 9.422 6.663 10.235
Th 7.666 1.694 13.277
Th 7.666 1.694 7.192
Th 4.152 6.663 13.277
Th 4.152 0.395 3.043
Th 0.559 0.395 5.117
Th 5.350 3.783 5.117
Th 1.757 3.783 7.192
Th 4.152 6.663 7.192
Th 4.152 0.395 7.192
Cd 9.814 6.939 16.998
Cd 4.958 3.506 11.881
Cd 5.909 6.194 10.235
Cd 7.810 3.506 10.235
Cd 8.863 4.251 15.352
Cd 6.963 6.939 15.352
Cd 9.814 6.939 13.706
Cd 4.958 3.506 8.588
Cd 7.386 5.223 12.793
Cd 7.386 5.223 7.676
Cd 5.909 1.045 10.235
Cd 2.954 5.223 10.235
Ru 1.477 1.045 2.559
Ru 1.477 1.045 7.676
Ru 2.954 5.223 5.117
Ru 5.909 1.045 5.117

=====

Entry 17:
5
Lattice="5.883 0.000 0.000 0.000 4.895 0.000 0.000 0.000 5.883" Properties=species:S:1:pos:R:3 comment="PBE CsCuSnBr2, relaxed" formation_energy_uncorrected_mev_per_atom=-450.4 vol_a3_per_atom=33.89 crystal_system=tetragonal dos_ef_per_ev_cell=2.02 sg=P4/mmm pbc="T T T"
Cs 2.942 2.448 2.942
Cu 0.000 0.000 0.000
Sn 0.000 2.448 0.000
Br 0.000 0.000 2.942
Br 2.942 0.000 0.000

=====

Entry 18:
3
Lattice="-1.670 1.885 1.399 -3.332 -2.734 -0.295 2.649 -0.182 3.408" Properties=species:S:1:pos:R:3 comment="PBE GaCuAg, relaxed" formation_enthalpy_0k_ev_per_atom=0.003 vol_a3_per_atom=15.52 crystal_system=hexagonal dos_ef_per_ev_cell=0.84 sg=P-6m2 pbc="T T T"
Cu -0.180 -0.091 2.873
Ga -2.174 -0.941 1.639
Ag -1.670 1.885 1.399

=====

Entry 19:
9
Lattice="-2.079 3.552 -0.800 -3.402 -2.771 -3.464 -2.818 -2.750 6.098" Properties=species:S:1:pos:R:3 comment="PBE Mg4Ga3Cu2, relaxed" formation_enthalpy_0k_ev_per_atom=-0.129 vol_a3_per_atom=18.01 crystal_system=monoclinic dos_ef_per_ev_cell=2.10 sg=C2/m pbc="T T T"
Mg -3.980 -2.306 0.099
Mg -4.319 0.338 1.734
Mg -4.656 -0.796 -2.425
Mg -3.642 -1.172 4.258
Ga -1.716 -0.767 1.053
Ga -6.582 -1.201 0.781
Ga -1.701 -1.385 -1.732
Cu -5.236 -2.496 2.521
Cu -3.062 0.528 -0.687

=====

Entry 20:
4
Lattice="-4.206 3.754 -3.011 2.376 -5.537 2.131 1.337 -2.207 5.848" Properties=species:S:1:pos:R:3 comment="PBE GaReTc2, relaxed" formation_enthalpy_0k_ev_per_atom=0.581 vol_a3_per_atom=17.12 crystal_system=orthorhombic dos_ef_per_ev_cell=3.85 sg=Immm pbc="T T T"
Ga 0.000 0.000 0.000
Re 1.856 -3.872 3.989
Tc 1.080 -2.253 2.322
Tc 2.632 -5.491 5.657